Record 1
A geometry-optimized GaAgIN2 structure, computed with PBE-GGA.

Lattice parameters (Å, degrees): 3.954 3.954 7.423 90.00 90.00 90.00
Element x y z (fractional)
Ga1 0.000 0.000 0.000
Ag1 0.500 0.500 0.500
I1 0.000 0.000 0.500
N1 0.000 0.500 0.000
N2 0.500 0.000 0.000

Results
Calculated total energy in eV for the cell shown: -18.17
Crystal system: tetragonal
Raw formation energy in eV/atom: 1.18


Record 2
A geometry-optimized Na2GaAgI6 structure, computed with PBE-GGA.

Lattice parameters (Å, degrees): 8.183 8.183 8.183 60.00 60.00 60.00
Element x y z (fractional)
Na1 0.250 0.250 0.250
Na2 0.750 0.750 0.750
Ga1 0.000 0.000 0.000
Ag1 0.500 0.500 0.500
I1 0.245 0.245 0.755
I2 0.245 0.755 0.245
I3 0.245 0.755 0.755
I4 0.755 0.245 0.245
I5 0.755 0.245 0.755
I6 0.755 0.755 0.245

Results
Calculated total energy in eV for the cell shown: -23.01
Crystal system: cubic
Raw formation energy in eV/atom: -0.52


Record 3
A geometry-optimized NpGaAgI6 structure, computed with PBE-GGA.

Lattice parameters (Å, degrees): 7.638 7.638 7.320 90.00 90.00 120.00
Element x y z (fractional)
Np1 0.000 0.000 0.000
Ga1 0.667 0.333 0.500
Ag1 0.333 0.667 0.000
I1 0.012 0.328 0.240
I2 0.012 0.684 0.760
I3 0.316 0.328 0.760
I4 0.316 0.988 0.240
I5 0.672 0.684 0.240
I6 0.672 0.988 0.760

Results
Calculated total energy in eV for the cell shown: -32.98
Crystal system: trigonal
Raw formation energy in eV/atom: -0.54


Record 4
A geometry-optimized GaAgIO2 structure, computed with PBE-GGA.

Lattice parameters (Å, degrees): 4.164 4.164 6.437 90.00 90.00 90.00
Element x y z (fractional)
Ga1 0.000 0.000 0.000
Ag1 0.500 0.500 0.500
I1 0.500 0.500 0.000
O1 0.000 0.500 0.500
O2 0.500 0.000 0.500

Results
Calculated total energy in eV for the cell shown: -15.52
Crystal system: tetragonal
Raw formation energy in eV/atom: 0.36


Record 5
A geometry-optimized GaAgIO2 structure, computed with PBE-GGA.

Lattice parameters (Å, degrees): 3.877 3.877 6.536 90.00 90.00 90.00
Element x y z (fractional)
Ga1 0.000 0.000 0.000
Ag1 0.500 0.500 0.500
I1 0.000 0.000 0.500
O1 0.000 0.500 0.000
O2 0.500 0.000 0.000

Results
Calculated total energy in eV for the cell shown: -19.33
Crystal system: tetragonal
Raw formation energy in eV/atom: -0.40


Record 6
A geometry-optimized Ga2AgOsI structure, computed with PBE-GGA.

Lattice parameters (Å, degrees): 5.831 5.831 5.208 90.00 90.00 90.00
Element x y z (fractional)
Ga1 0.000 0.500 0.000
Ga2 0.500 0.000 0.000
Ag1 0.000 0.000 0.500
Os1 0.500 0.500 0.500
I1 0.000 0.000 0.000

Results
Calculated total energy in eV for the cell shown: -12.43
Crystal system: tetragonal
Raw formation energy in eV/atom: 1.85


Record 7
A geometry-optimized GaAgP2I structure, computed with PBE-GGA.

Lattice parameters (Å, degrees): 4.744 4.744 6.089 90.00 90.00 90.00
Element x y z (fractional)
Ga1 0.000 0.000 0.000
Ag1 0.000 0.000 0.500
P1 0.000 0.500 0.500
P2 0.500 0.000 0.500
I1 0.500 0.500 0.000

Results
Calculated total energy in eV for the cell shown: -14.30
Crystal system: tetragonal
Raw formation energy in eV/atom: 0.79


Record 8
A geometry-optimized Rb2GaAgI6 structure, computed with PBE-GGA.

Lattice parameters (Å, degrees): 8.278 8.278 8.278 60.00 60.00 60.00
Element x y z (fractional)
Rb1 0.250 0.250 0.250
Rb2 0.750 0.750 0.750
Ga1 0.000 0.000 0.000
Ag1 0.500 0.500 0.500
I1 0.244 0.244 0.756
I2 0.244 0.756 0.244
I3 0.244 0.756 0.756
I4 0.756 0.244 0.244
I5 0.756 0.244 0.756
I6 0.756 0.756 0.244

Results
Calculated total energy in eV for the cell shown: -24.63
Crystal system: cubic
Raw formation energy in eV/atom: -0.75


Record 9
A geometry-optimized RbGa2AgI8 structure, computed with PBE-GGA.

Lattice parameters (Å, degrees): 7.477 7.477 10.679 90.00 90.00 120.00
Element x y z (fractional)
Rb1 0.000 0.000 0.000
Ga1 0.333 0.667 0.750
Ga2 0.667 0.333 0.250
Ag1 0.000 0.000 0.500
I1 0.007 0.329 0.676
I2 0.322 0.993 0.676
I3 0.329 0.322 0.324
I4 0.333 0.667 0.992
I5 0.667 0.333 0.008
I6 0.671 0.678 0.676
I7 0.678 0.007 0.324
I8 0.993 0.671 0.324

Results
Calculated total energy in eV for the cell shown: -29.76
Crystal system: trigonal
Raw formation energy in eV/atom: -0.62


Record 10
A geometry-optimized GaAgRh2I structure, computed with PBE-GGA.

Lattice parameters (Å, degrees): 4.877 4.877 5.485 90.00 90.00 90.00
Element x y z (fractional)
Ga1 0.000 0.000 0.000
Ag1 0.500 0.500 0.000
Rh1 0.000 0.500 0.500
Rh2 0.500 0.000 0.500
I1 0.000 0.000 0.500

Results
Calculated total energy in eV for the cell shown: -16.69
Crystal system: tetragonal
Raw formation energy in eV/atom: 1.09


Record 11
A geometry-optimized GaAgSb2I structure, computed with PBE-GGA.

Lattice parameters (Å, degrees): 5.328 5.328 5.769 90.00 90.00 90.00
Element x y z (fractional)
Ga1 0.000 0.000 0.000
Ag1 0.500 0.500 0.500
Sb1 0.000 0.500 0.000
Sb2 0.500 0.000 0.000
I1 0.000 0.000 0.500

Results
Calculated total energy in eV for the cell shown: -12.55
Crystal system: tetragonal
Raw formation energy in eV/atom: 0.62


Record 12
A geometry-optimized GaAgSb2I structure, computed with PBE-GGA.

Lattice parameters (Å, degrees): 5.333 5.333 6.164 90.00 90.00 90.00
Element x y z (fractional)
Ga1 0.000 0.000 0.000
Ag1 0.500 0.500 0.500
Sb1 0.000 0.500 0.500
Sb2 0.500 0.000 0.500
I1 0.500 0.500 0.000

Results
Calculated total energy in eV for the cell shown: -13.03
Crystal system: tetragonal
Raw formation energy in eV/atom: 0.53